# 1
This record from Alexandria describes a relaxed structure of ZrNiAu. The functional is GGA-PBEsol.

Cell lengths 3.3802, 3.3802, 4.8707 Å; angles 110.35, 110.35, 89.96 degrees
Last column: nearest neighbours and their distance in Å.
Fractional coordinates of all 3 atoms:
Ni  0.3279  0.3279  0.6557  5 Zr 2.72-2.94, 5 Au 2.79-2.80
Au  0.9974  0.9974  0.9948  5 Zr 2.74-2.83, 5 Ni 2.79-2.80
Zr  0.6747  0.6747  0.3495  5 Ni 2.72-2.94, 5 Au 2.74-2.83

Computed properties:
Calculated density = 11.89 g/cm3
DFT formation energy = -0.543 eV per atom
VASP energy = -20.80 eV per cell
Magnetic moment = 0.00 μB/cell


# 2
This record from Alexandria describes a relaxed structure of Cr3PBr. The functional is GGA-PBEsol.

Cell lengths 4.6152, 4.6152, 4.6152 Å; angles 90.00, 90.00, 90.00 degrees
Last column: nearest neighbours and their distance in Å.
Fractional coordinates of all 5 atoms:
Cr  0.0000  0.5000  0.0000  2 P 2.31
Cr  0.0000  0.0000  0.5000  2 P 2.31
Cr  0.5000  0.0000  0.0000  2 P 2.31
Br  0.5000  0.5000  0.5000  12 Cr 3.26
P  0.0000  0.0000  0.0000  6 Cr 2.31

Computed properties:
Calculated density = 4.51 g/cm3
Formation energy (no corrections) = 0.698 eV/atom
VASP energy = -34.90 eV per cell
Magnetic moment = 12.21 μB/cell


# 3
This record from Alexandria describes a relaxed structure of YSc2Ta. The functional is GGA-PBEsol.

Cell lengths 5.0298, 5.0298, 5.0298 Å; angles 60.00, 60.00, 60.00 degrees
Last column: nearest neighbours and their distance in Å.
Fractional coordinates of all 4 atoms:
Sc  0.0000  0.0000  0.0000  4 Y 3.08, 4 Sc 3.08
Sc  0.7500  0.7500  0.7500  4 Sc 3.08, 4 Ta 3.08
Ta  0.5000  0.5000  0.5000  4 Sc 3.08, 4 Y 3.08
Y  0.2500  0.2500  0.2500  4 Ta 3.08, 4 Sc 3.08

Computed properties:
Calculated density = 6.64 g/cm3
DFT formation energy = 0.367 eV per atom
VASP energy = -31.11 eV per cell
Excess energy over the best structure of this formula in the dataset = 0.63 eV per formula unit
Magnetic moment = 1.25 μB/cell


# 4
This record from Alexandria describes a relaxed structure of ScCuNi. The functional is GGA-PBEsol.

Cell lengths 4.1488, 4.1488, 4.1488 Å; angles 60.00, 60.00, 60.00 degrees
Last column: nearest neighbours and their distance in Å.
Fractional coordinates of all 3 atoms:
Cu  0.0000  0.0000  0.0000  4 Sc 2.54
Ni  0.5000  0.5000  0.5000  4 Sc 2.54
Sc  0.2500  0.2500  0.2500  4 Ni 2.54, 4 Cu 2.54

Computed properties:
Calculated density = 5.50 g/cm3
DFT formation energy = 0.343 eV per atom
VASP energy = -16.07 eV per cell
Magnetic moment = 0.00 μB/cell


# 5
This record from Alexandria describes a relaxed structure of RbMnN2O. The functional is GGA-PBEsol.

Cell lengths 3.6864, 3.6864, 4.1228 Å; angles 90.00, 90.00, 90.00 degrees
Last column: nearest neighbours and their distance in Å.
Fractional coordinates of all 5 atoms:
Mn  0.0000  0.0000  0.0000  4 N 1.84, 2 O 2.06
O  0.0000  0.0000  0.5000  2 Mn 2.06
Rb  0.5000  0.5000  0.5000  4 O 2.61, 8 N 2.77
N  0.0000  0.5000  0.0000  2 Mn 1.84
N  0.5000  0.0000  0.0000  2 Mn 1.84

Computed properties:
Calculated density = 5.47 g/cm3
Formation energy (no corrections) = 0.104 eV/atom
VASP energy = -32.57 eV per cell
Magnetic moment = 0.25 μB/cell


# 6
This record from Alexandria describes a relaxed structure of Na2SrAl4B4O14. The functional is GGA-PBEsol.

Cell lengths 4.9176, 4.9176, 15.6464 Å; angles 90.00, 90.00, 120.00 degrees
Last column: nearest neighbours and their distance in Å.
Fractional coordinates of all 25 atoms:
Na  0.0000  0.0000  0.7025  3 O 2.38
Na  0.0000  0.0000  0.4808  3 O 2.27
Sr  0.0000  0.0000  0.0085  6 O 2.48-2.60
Al  0.6667  0.3333  0.1513  4 O 1.65-1.79
Al  0.3333  0.6667  0.6339  4 O 1.75-1.76
Al  0.3333  0.6667  0.8547  4 O 1.70-1.78
Al  0.6667  0.3333  0.3669  4 O 1.72-1.76
B  0.6667  0.3333  0.6043  3 O 1.38
B  0.3333  0.6667  0.1027  3 O 1.37
B  0.3333  0.6667  0.4073  3 O 1.37
B  0.6667  0.3333  0.8961  3 O 1.38
O  0.3333  0.6667  0.7460  2 Al 1.70-1.75
O  0.6667  0.3333  0.2570  2 Al 1.65-1.72
O  0.3860  0.4174  0.4100  1 B 1.37
O  0.5826  0.9686  0.4100  1 B 1.37
O  0.0314  0.6140  0.4100  1 B 1.37
O  0.6227  0.5894  0.8981  1 B 1.38
O  0.4106  0.0333  0.8981  1 B 1.38
O  0.9667  0.3773  0.8981  1 B 1.38
O  0.6457  0.6034  0.6068  1 B 1.38
O  0.3966  0.0423  0.6068  1 B 1.38
O  0.9577  0.3543  0.6068  1 B 1.38
O  0.4033  0.4292  0.0977  1 B 1.37
O  0.5708  0.9741  0.0977  1 B 1.37
O  0.0259  0.5967  0.0977  1 B 1.37

Computed properties:
Calculated density = 2.58 g/cm3
Formation energy (no corrections) = -2.675 eV/atom
VASP energy = -189.44 eV per cell
Magnetic moment = 0.00 μB/cell


# 7
This record from Alexandria describes a relaxed structure of ZnCr2Pb. The functional is GGA-PBEsol.

Cell lengths 3.0381, 3.0381, 7.2114 Å; angles 90.00, 90.00, 90.00 degrees
Last column: nearest neighbours and their distance in Å.
Fractional coordinates of all 4 atoms:
Cr  0.0000  0.0000  0.0286  4 Cr 2.41, 4 Zn 2.65
Cr  0.5000  0.5000  0.1814  4 Cr 2.41, 1 Zn 2.65
Pb  0.0000  0.0000  0.4757  5 Cr 3.02-3.22, 4 Pb 3.04, 4 Zn 3.25
Zn  0.5000  0.5000  0.8143  5 Cr 2.65

Computed properties:
Calculated density = 9.40 g/cm3
DFT formation energy = 0.423 eV per atom
VASP energy = -24.37 eV per cell
Magnetic moment = 0.24 μB/cell


# 8
This record from Alexandria describes a relaxed structure of Mg2Zn. The functional is GGA-PBEsol.

Cell lengths 3.6906, 4.5849, 6.9705 Å; angles 90.00, 105.35, 90.00 degrees
Last column: nearest neighbours and their distance in Å.
Fractional coordinates of all 6 atoms:
Zn  0.9144  0.2500  0.8289  8 Mg 2.79-2.95
Zn  0.0856  0.7500  0.1711  8 Mg 2.79-2.95
Mg  0.5752  0.2500  0.1505  6 Zn 2.84-2.95, 4 Mg 3.06-3.08
Mg  0.4248  0.7500  0.8495  6 Zn 2.84-2.95, 4 Mg 3.06-3.08
Mg  0.2589  0.2500  0.5178  2 Zn 2.79, 6 Mg 2.95-3.08
Mg  0.7411  0.7500  0.4822  2 Zn 2.79, 6 Mg 2.95-3.08

Computed properties:
Calculated density = 3.33 g/cm3
DFT formation energy = -0.017 eV per atom
VASP energy = -10.14 eV per cell
Magnetic moment = 0.00 μB/cell


# 9
This record from Alexandria describes a relaxed structure of LiCu2. The functional is GGA-PBEsol.

Cell lengths 2.5286, 4.1501, 6.9178 Å; angles 90.00, 100.53, 90.00 degrees
Last column: nearest neighbours and their distance in Å.
Fractional coordinates of all 6 atoms:
Cu  0.6068  0.7500  0.2135  8 Cu 2.52-2.54, 4 Li 2.54-2.74
Cu  0.9466  0.7500  0.8932  10 Cu 2.52-2.54, 2 Li 2.54
Cu  0.0534  0.2500  0.1068  10 Cu 2.52-2.54, 2 Li 2.54
Cu  0.3932  0.2500  0.7865  8 Cu 2.52-2.54, 4 Li 2.54-2.74
Li  0.2850  0.7500  0.5701  6 Li 2.53-2.61, 6 Cu 2.54-2.74
Li  0.7150  0.2500  0.4299  6 Li 2.53-2.61, 6 Cu 2.54-2.74

Computed properties:
Calculated density = 6.24 g/cm3
DFT formation energy = 0.009 eV per atom
VASP energy = -21.22 eV per cell
Magnetic moment = 0.00 μB/cell


# 10
This record from Alexandria describes a relaxed structure of BiRh. The functional is GGA-PBEsol.

Cell lengths 4.1089, 4.1089, 5.6292 Å; angles 90.00, 90.00, 120.00 degrees
Last column: nearest neighbours and their distance in Å.
Fractional coordinates of all 4 atoms:
Rh  0.0000  0.0000  0.0000  6 Bi 2.76, 2 Rh 2.81
Rh  0.0000  0.0000  0.5000  6 Bi 2.76, 2 Rh 2.81
Bi  0.3333  0.6667  0.2500  6 Rh 2.76
Bi  0.6667  0.3333  0.7500  6 Rh 2.76

Computed properties:
Calculated density = 12.58 g/cm3
DFT formation energy = -0.167 eV per atom
VASP energy = -25.52 eV per cell
Magnetic moment = 0.00 μB/cell


# 11
This record from Alexandria describes a relaxed structure of Tl2SeBr. The functional is GGA-PBEsol.

Cell lengths 4.0615, 4.0852, 7.6980 Å; angles 90.00, 105.30, 90.00 degrees
Last column: nearest neighbours and their distance in Å.
Fractional coordinates of all 4 atoms:
Tl  0.0479  0.0000  0.0957  4 Br 3.18, 2 Se 3.44
Tl  0.2604  0.5000  0.5209  4 Se 2.91, 1 Br 2.92
Se  0.7345  0.0000  0.4691  4 Tl 2.91
Br  0.4572  0.5000  0.9143  5 Tl 2.92-3.18

Computed properties:
Calculated density = 7.65 g/cm3
Formation energy (no corrections) = -0.438 eV/atom
VASP energy = -12.73 eV per cell
Excess energy over the best structure of this formula in the dataset = 0.00 eV per formula unit
Magnetic moment = 0.00 μB/cell


# 12
This record from Alexandria describes a relaxed structure of Ru5W. The functional is GGA-PBEsol.

Cell lengths 2.7143, 5.0735, 6.3711 Å; angles 103.18, 90.00, 105.52 degrees
Last column: nearest neighbours and their distance in Å.
Fractional coordinates of all 6 atoms:
Ru  0.9983  0.9966  0.9999  3 W 2.64-2.67, 9 Ru 2.65-2.73
Ru  0.3901  0.7802  0.2792  10 Ru 2.64-2.71, 2 W 2.72
Ru  0.6673  0.3347  0.3351  11 Ru 2.65-2.73, 1 W 2.66
Ru  0.0538  0.1076  0.6081  10 Ru 2.63-2.71, 2 W 2.74
Ru  0.3348  0.6696  0.6646  10 Ru 2.63-2.71, 2 W 2.68
W  0.7223  0.4446  0.9463  10 Ru 2.64-2.74, 2 W 2.71

Computed properties:
Calculated density = 13.93 g/cm3
DFT formation energy = -0.013 eV per atom
VASP energy = -64.75 eV per cell
Excess energy over the best structure of this formula in the dataset = 0.12 eV per formula unit
Magnetic moment = 0.00 μB/cell